No. 1
A plane-wave DFT calculation with PBE-GGA was carried out for a relaxed structure of LiTi5Te10.

Output
- ΔE_f (raw): -0.7368 eV/atom

Cell: 6.5753 8.0210 9.6416 Å, 111.49 109.80 90.16°
Last column: nearest neighbours and their distance in Å.
Fractional coordinates of all 16 atoms:
Li 0.0000 0.0000 0.0000  6 Te 2.87-2.88
Ti 0.0967 0.7037 0.2019  6 Te 2.77-2.82
Ti 0.3055 0.1009 0.6000  6 Te 2.77-2.80
Ti 0.5000 0.5000 0.0000  6 Te 2.78
Ti 0.6945 0.8991 0.4000  6 Te 2.77-2.80
Ti 0.9033 0.2963 0.7981  6 Te 2.77-2.82
Te 0.0168 0.9491 0.6927  3 Ti 2.78-2.80, 1 Li 2.88
Te 0.1861 0.4455 0.7026  3 Ti 2.77-2.79
Te 0.2174 0.3592 0.1013  3 Ti 2.78-2.81, 1 Li 2.88
Te 0.3879 0.8459 0.1021  3 Ti 2.77-2.82, 1 Li 2.87
Te 0.4131 0.7527 0.4973  3 Ti 2.77-2.78
Te 0.5869 0.2473 0.5027  3 Ti 2.77-2.78
Te 0.6121 0.1541 0.8979  3 Ti 2.77-2.82, 1 Li 2.87
Te 0.7826 0.6408 0.8987  3 Ti 2.78-2.81, 1 Li 2.88
Te 0.8139 0.5545 0.2974  3 Ti 2.77-2.79
Te 0.9832 0.0509 0.3073  3 Ti 2.78-2.80, 1 Li 2.88

No. 2
A plane-wave DFT calculation with PBE-GGA was carried out for a relaxed structure of LaNi2Hg.

Output
- Formation enthalpy at 0 K: 0.056 eV/atom

Cell: 9.4146 9.4146 9.4146 Å, 151.86 151.86 40.22°
Last column: nearest neighbours and their distance in Å.
Fractional coordinates of all 8 atoms:
La 0.0000 0.0000 0.0000  4 Ni 3.19, 4 Hg 3.24
La 0.7500 0.2500 0.5000  4 Ni 3.19, 4 Hg 3.24
Ni 0.3119 0.6250 0.1869  2 Ni 2.36, 2 Hg 2.51
Ni 0.3750 0.5619 0.6869  2 Ni 2.36, 2 Hg 2.51
Ni 0.4381 0.1250 0.8131  2 Ni 2.36, 2 Hg 2.51
Ni 0.8750 0.6881 0.3131  2 Ni 2.36, 2 Hg 2.51
Hg 0.2500 0.7500 0.5000  4 Ni 2.51
Hg 0.5000 0.5000 0.0000  4 Ni 2.51

No. 3
A plane-wave DFT calculation with PBE-GGA was carried out for a relaxed structure of P2PdAu.

Output
- Energy above the most stable polymorph in this dataset: 128.8 meV/atom
- Formation enthalpy at 0 K: 0.227 eV/atom

Cell: 4.4742 4.4742 4.4742 Å, 60.00 60.00 60.00°
Last column: nearest neighbours and their distance in Å.
Fractional coordinates of all 4 atoms:
P 0.2500 0.2500 0.2500  4 Au 2.74, 4 Pd 2.74
P 0.7500 0.7500 0.7500  4 Au 2.74, 4 Pd 2.74
Pd 0.0000 0.0000 0.0000  8 P 2.74
Au 0.5000 0.5000 0.5000  8 P 2.74

No. 4
A plane-wave DFT calculation with PBE-GGA was carried out for a relaxed structure of La2MgCd.

Output
- Formation enthalpy at 0 K: -0.196 eV/atom

Cell: 3.6084 4.6989 7.1177 Å, 90.00 90.00 90.00°
Last column: nearest neighbours and their distance in Å.
Fractional coordinates of all 4 atoms:
La 0.0000 0.0000 0.2374  4 La 3.38-3.74, 4 Cd 3.41, 4 Mg 3.50
La 0.0000 0.0000 0.7626  4 La 3.38-3.74, 4 Cd 3.41, 4 Mg 3.50
Mg 0.5000 0.5000 0.5000  8 La 3.50, 2 Cd 3.56, 2 Mg 3.61
Cd 0.5000 0.5000 0.0000  8 La 3.41, 2 Mg 3.56, 2 Cd 3.61

No. 5
A plane-wave DFT calculation with PBE-GGA was carried out for a relaxed structure of AlCo4Os.

Output
- Formation enthalpy at 0 K: 0.036 eV/atom

Cell: 4.6810 4.6810 4.6810 Å, 60.00 60.00 60.00°
Last column: nearest neighbours and their distance in Å.
Fractional coordinates of all 6 atoms:
Al 0.0000 0.0000 0.0000  12 Co 2.74, 4 Os 2.87
Co 0.1234 0.6255 0.6255  6 Co 2.33-2.35
Co 0.6255 0.1234 0.6255  6 Co 2.33-2.35
Co 0.6255 0.6255 0.1234  6 Co 2.33-2.35
Co 0.6255 0.6255 0.6255  6 Co 2.33-2.35
Os 0.2500 0.2500 0.2500  12 Co 2.75, 4 Al 2.87

No. 6
A plane-wave DFT calculation with PBE-GGA was carried out for a relaxed structure of KCdPb2.

Output
- Formation enthalpy at 0 K: -0.073 eV/atom

Cell: 3.7908 4.1676 8.2058 Å, 90.00 90.00 90.00°
Last column: nearest neighbours and their distance in Å.
Fractional coordinates of all 4 atoms:
K 0.0000 0.0000 0.0000  8 Pb 3.76, 4 K 3.79-4.17, 2 Cd 4.10
Cd 0.0000 0.0000 0.5000  8 Pb 3.25
Pb 0.5000 0.5000 0.3036  1 Pb 3.22, 4 Cd 3.25
Pb 0.5000 0.5000 0.6964  1 Pb 3.22, 4 Cd 3.25

No. 7
A plane-wave DFT calculation with PBE-GGA was carried out for a relaxed structure of Sc4ZnRu.

Output
- Energy above the most stable polymorph in this dataset: 0.0 meV/atom
- Formation enthalpy at 0 K: -0.335 eV/atom

Cell: 3.2715 3.2715 11.4222 Å, 90.00 90.00 90.00°
Last column: nearest neighbours and their distance in Å.
Fractional coordinates of all 6 atoms:
Sc 0.0000 0.0000 0.1329  4 Ru 2.77, 1 Sc 3.04
Sc 0.0000 0.0000 0.8671  4 Ru 2.77, 1 Sc 3.04
Sc 0.5000 0.5000 0.3534  4 Zn 2.86
Sc 0.5000 0.5000 0.6466  4 Zn 2.86
Zn 0.0000 0.0000 0.5000  8 Sc 2.86
Ru 0.5000 0.5000 0.0000  8 Sc 2.77

No. 8
A plane-wave DFT calculation with PBE-GGA was carried out for a relaxed structure of K2ScIr.

Output
- Energy above the most stable polymorph in this dataset: 766.4 meV/atom
- Formation enthalpy at 0 K: 0.781 eV/atom

Cell: 3.3617 5.5045 5.7839 Å, 90.00 90.00 90.00°
Last column: nearest neighbours and their distance in Å.
Fractional coordinates of all 4 atoms:
K 0.0000 0.2405 0.0000  2 K 2.65-2.86
K 0.0000 0.7595 0.0000  2 K 2.65-2.86
Sc 0.5000 0.5000 0.5000  2 Ir 2.75
Ir 0.5000 0.0000 0.5000  2 Sc 2.75

No. 9
A plane-wave DFT calculation with PBE-GGA was carried out for a relaxed structure of BaLa2Ru.

Output
- Energy above the most stable polymorph in this dataset: 211.5 meV/atom
- Formation enthalpy at 0 K: 0.026 eV/atom

Cell: 8.7380 8.7380 8.7380 Å, 155.73 148.14 40.46°
Last column: nearest neighbours and their distance in Å.
Fractional coordinates of all 4 atoms:
Ba 0.0000 0.0000 0.0000  2 Ru 3.64, 2 Ba 3.67, 2 La 3.69
La 0.3293 0.8293 0.5000  4 Ru 3.04
La 0.6808 0.6808 0.0000  2 Ru 2.78
Ru 0.8081 0.3081 0.5000  6 La 2.78-3.04

no.,magnetic moment (μB per atom)
1,0.000
2,0.000
3,0.000
4,0.000
5,1.199
6,0.000
7,0.000
8,0.158
9,0.000